This record from Alexandria describes crystalline GdDyErAg at its relaxed geometry. The functional is PBE.

Cell lengths 7.563, 7.563, 7.563 Å; angles 90.00, 90.00, 90.00 degrees
Space group F-43m (No. 216)
Symmetry-distinct sites (fractional):
1 Gd 0.000 0.000 0.000 [4 per cell]
2 Dy 0.250 0.250 0.750 [4 per cell]
3 Er 0.250 0.250 0.250 [4 per cell]
4 Ag 0.000 0.000 0.500 [4 per cell]

Computed properties:
N(E_F): 1.634 states/eV per atom
E_form: 0.071 eV/atom